Material: Cs2KMgI5
Method: DFT, PBE
State: optimized geometry

Cell: 4.863 11.808 16.572 Å, 90.00 90.00 101.88°
Fractional coordinates of all 18 atoms:
K: 0.207 0.414 0.035
K: 0.793 0.586 0.535
Cs: 0.867 0.735 0.831
Cs: 0.872 0.744 0.186
Cs: 0.133 0.265 0.331
Cs: 0.128 0.256 0.686
I: 0.705 0.410 0.183
I: 0.357 0.713 0.010
I: 0.962 0.923 0.505
I: 0.327 0.653 0.380
I: 0.643 0.287 0.510
I: 0.038 0.077 0.005
I: 0.500 0.000 0.276
I: 0.673 0.347 0.880
I: 0.500 0.000 0.776
I: 0.295 0.590 0.683
Mg: 0.558 0.116 0.918
Mg: 0.442 0.884 0.418

Computed properties:
Raw formation energy   -1.349 eV/atom
Fermi-level density of states   0.00 states/eV per cell
DFT total energy   -24.29 eV per formula unit